Record 1
VASP calculation (PBE) on crystalline LiLa2RhO5 at its relaxed geometry.

It has space group P4/mbm (No. 127), with a = 6.956 Å, b = 6.956 Å, c = 5.800 Å, α = 90.00°, β = 90.00° and γ = 90.00°. The asymmetric unit holds Li at (0.000, 0.000, 0.000), La at (0.179, 0.321, 0.500), Rh at (0.000, 0.500, 0.000), O at (0.000, 0.000, 0.500) and O at (0.135, 0.635, 0.247).

As for the formation energy from raw total energies: -2.20 eV/atom.

***

Record 2
VASP calculation (PBE) on crystalline LiLa2Rh3O8 at its relaxed geometry.

It has space group R3m (No. 160, hexagonal axes), with a = 6.5150 Å, b = 6.5150 Å, c = 16.6110 Å, α = 90.00°, β = 90.00° and γ = 120.00°. The asymmetric unit holds Li at (0.0000, 0.0000, 0.0000), La at (0.0000, 0.0000, 0.1826), La at (0.0000, 0.0000, 0.6659), Rh at (0.0061, 0.5030, 0.1529), O at (0.0000, 0.0000, 0.4280), O at (0.0000, 0.0000, 0.8797), O at (0.0033, 0.5017, 0.4210) and O at (0.1939, 0.3879, 0.2222).

As for the formation energy from raw total energies: -1.77 eV/atom.

***

Record 3
VASP calculation (PBE) on crystalline LiLa2RuO6 at its relaxed geometry.

It has space group C2/m (No. 12), with a = 9.748 Å, b = 5.546 Å, c = 5.661 Å, α = 90.00°, β = 125.22° and γ = 90.00°. The asymmetric unit holds Li at (0.000, 0.000, 0.000), La at (0.249, 0.500, 0.261), Ru at (0.000, 0.500, 0.500), O at (0.053, 0.254, 0.312) and O at (0.239, 0.500, 0.833).

For the polymorph energy (0 for the lowest one), the calculation gives 19 meV/atom. As for the formation energy from raw total energies: -2.42 eV/atom.

***

Record 4
VASP calculation (PBE) on crystalline LiLa2RuO at its relaxed geometry.

It has space group P4/mmm (No. 123), with a = 5.017 Å, b = 5.017 Å, c = 3.848 Å, α = 90.00°, β = 90.00° and γ = 90.00°. The asymmetric unit holds Li at (0.000, 0.000, 0.000), La at (0.000, 0.500, 0.500), Ru at (0.500, 0.500, 0.000) and O at (0.000, 0.000, 0.500).

As for the formation energy from raw total energies: -1.20 eV/atom.

***

Record 5
VASP calculation (PBE) on crystalline LiLa2RuO6 at its relaxed geometry.

It has space group P2_1/c (No. 14), with a = 5.564 Å, b = 5.801 Å, c = 9.629 Å, α = 90.00°, β = 125.09° and γ = 90.00°. The asymmetric unit holds Li at (0.000, 0.000, 0.000), La at (0.237, 0.060, 0.749), Ru at (0.500, 0.000, 0.500), O at (0.166, 0.190, 0.455), O at (0.264, 0.715, 0.451) and O at (0.347, 0.027, 0.257).

For the polymorph energy (0 for the lowest one), the calculation gives 0 meV/atom. As for the formation energy from raw total energies: -2.44 eV/atom.

***

Record 6
VASP calculation (PBE) on crystalline LiLa2SO at its relaxed geometry.

It has space group P4/mmm (No. 123), with a = 4.679 Å, b = 4.679 Å, c = 5.865 Å, α = 90.00°, β = 90.00° and γ = 90.00°. The asymmetric unit holds Li at (0.000, 0.000, 0.000), La at (0.000, 0.500, 0.500), S at (0.500, 0.500, 0.000) and O at (0.500, 0.500, 0.500).

As for the formation energy from raw total energies: -1.16 eV/atom.

***

Record 7
VASP calculation (PBE) on crystalline LiLaSO at its relaxed geometry.

It has space group P4/nmm (No. 129, origin choice 2), with a = 4.021 Å, b = 4.021 Å, c = 8.792 Å, α = 90.00°, β = 90.00° and γ = 90.00°. The asymmetric unit holds Li at (0.250, 0.750, 0.000), La at (0.250, 0.250, 0.358), S at (0.250, 0.250, 0.838) and O at (0.250, 0.750, 0.500).

As for the formation energy from raw total energies: -2.48 eV/atom.

***

Record 8
VASP calculation (PBE) on crystalline LiLaSO2 at its relaxed geometry.

It has space group P4/mmm (No. 123), with a = 3.958 Å, b = 3.958 Å, c = 5.180 Å, α = 90.00°, β = 90.00° and γ = 90.00°. The asymmetric unit holds Li at (0.000, 0.000, 0.000), La at (0.000, 0.000, 0.500), S at (0.500, 0.500, 0.500) and O at (0.000, 0.500, 0.000).

As for the formation energy from raw total energies: -0.92 eV/atom.

***

Record 9
VASP calculation (PBE) on crystalline LiLaS2O8 at its relaxed geometry.

It has space group R-3 (No. 148, hexagonal axes), with a = 4.8329 Å, b = 4.8329 Å, c = 21.0069 Å, α = 90.00°, β = 90.00° and γ = 120.00°. The asymmetric unit holds Li at (0.0000, 0.0000, 0.0000), La at (0.0000, 0.0000, 0.5000), S at (0.0000, 0.0000, 0.2492), O at (0.0000, 0.0000, 0.1763) and O at (0.0209, 0.3042, 0.2687).

As for the formation energy from raw total energies: -2.02 eV/atom.

***

Record 10
VASP calculation (PBE) on crystalline LiLa2SbO5 at its relaxed geometry.

It has space group P4/mbm (No. 127), with a = 6.937 Å, b = 6.937 Å, c = 6.329 Å, α = 90.00°, β = 90.00° and γ = 90.00°. The asymmetric unit holds Li at (0.000, 0.000, 0.000), La at (0.179, 0.321, 0.500), Sb at (0.000, 0.500, 0.000), O at (0.000, 0.000, 0.500) and O at (0.143, 0.643, 0.255).

As for the formation energy from raw total energies: -2.21 eV/atom.

***

Record 11
VASP calculation (PBE) on crystalline Li2LaSbO at its relaxed geometry.

It has space group P4/mmm (No. 123), with a = 4.569 Å, b = 4.569 Å, c = 4.749 Å, α = 90.00°, β = 90.00° and γ = 90.00°. The asymmetric unit holds Li at (0.000, 0.500, 0.000), La at (0.000, 0.000, 0.500), Sb at (0.500, 0.500, 0.500) and O at (0.000, 0.000, 0.000).

As for the formation energy from raw total energies: -1.58 eV/atom.

***

Record 12
VASP calculation (PBE) on crystalline LiLa2SbO at its relaxed geometry.

It has space group P4/mmm (No. 123), with a = 5.085 Å, b = 5.085 Å, c = 4.333 Å, α = 90.00°, β = 90.00° and γ = 90.00°. The asymmetric unit holds Li at (0.000, 0.000, 0.000), La at (0.000, 0.500, 0.500), Sb at (0.500, 0.500, 0.000) and O at (0.000, 0.000, 0.500).

As for the formation energy from raw total energies: -1.63 eV/atom.

***

Record 13
VASP calculation (PBE) on crystalline Li2La2Sb2O at its relaxed geometry.

It has space group I4/mmm (No. 139), with a = 4.603 Å, b = 4.603 Å, c = 15.871 Å, α = 90.00°, β = 90.00° and γ = 90.00°. The asymmetric unit holds Li at (0.000, 0.500, 0.000), La at (0.000, 0.000, 0.147), Sb at (0.000, 0.000, 0.366) and O at (0.000, 0.000, 0.000).

As for the formation energy from raw total energies: -1.52 eV/atom.

***

Record 14
VASP calculation (PBE) on crystalline LiLa2SbO6 at its relaxed geometry.

It has space group P2_1/c (No. 14), with a = 5.656 Å, b = 5.839 Å, c = 9.806 Å, α = 90.00°, β = 124.79° and γ = 90.00°. The asymmetric unit holds Li at (0.000, 0.000, 0.000), La at (0.235, 0.052, 0.749), Sb at (0.500, 0.000, 0.500), O at (0.165, 0.192, 0.452), O at (0.257, 0.716, 0.445) and O at (0.358, 0.034, 0.260).

For the polymorph energy (0 for the lowest one), the calculation gives 0 meV/atom. As for the formation energy from raw total energies: -2.64 eV/atom.

***

Record 15
VASP calculation (PBE) on crystalline Li4LaSb3O12 at its relaxed geometry.

It has space group R32 (No. 155, hexagonal axes), with a = 11.0487 Å, b = 11.0487 Å, c = 7.3417 Å, α = 90.00°, β = 90.00° and γ = 120.00°. The asymmetric unit holds Li at (0.0000, 0.0000, 0.0000), Li at (0.0000, 0.4285, 0.0000), La at (0.0000, 0.0000, 0.5000), Sb at (0.0000, 0.5614, 0.5000), O at (0.0000, 0.5987, 0.0000), O at (0.0000, 0.8311, 0.0000) and O at (0.0640, 0.2170, 0.6806).

As for the formation energy from raw total energies: -1.72 eV/atom.

***

Record 16
VASP calculation (PBE) on crystalline LiLa2SbO6 at its relaxed geometry.

It has space group C2/m (No. 12), with a = 9.957 Å, b = 5.640 Å, c = 5.703 Å, α = 90.00°, β = 124.86° and γ = 90.00°. The asymmetric unit holds Li at (0.000, 0.000, 0.000), La at (0.249, 0.500, 0.265), Sb at (0.000, 0.500, 0.500), O at (0.058, 0.254, 0.317) and O at (0.235, 0.500, 0.838).

For the polymorph energy (0 for the lowest one), the calculation gives 16 meV/atom. As for the formation energy from raw total energies: -2.62 eV/atom.

***

Record 17
VASP calculation (PBE) on crystalline LiLaSb2O8 at its relaxed geometry.

It has space group Cmmm (No. 65), with a = 7.014 Å, b = 7.626 Å, c = 6.351 Å, α = 90.00°, β = 90.00° and γ = 90.00°. The asymmetric unit holds Li at (0.000, 0.000, 0.000), La at (0.000, 0.000, 0.500), Sb at (0.000, 0.500, 0.247), O at (0.000, 0.323, 0.000), O at (0.000, 0.330, 0.500) and O at (0.222, 0.000, 0.230).

As for the formation energy from raw total energies: -1.61 eV/atom.

***

Record 18
VASP calculation (PBE) on crystalline Li2La4Sb3O2 at its relaxed geometry.

It has space group I4/mmm (No. 139), with a = 4.999 Å, b = 4.999 Å, c = 23.986 Å, α = 90.00°, β = 90.00° and γ = 90.00°. The asymmetric unit holds Li at (0.000, 0.000, 0.197), La at (0.000, 0.500, 0.097), Sb at (0.000, 0.000, 0.317), Sb at (0.000, 0.000, 0.500) and O at (0.000, 0.000, 0.107).

As for the formation energy from raw total energies: -1.55 eV/atom.

***

Record 19
VASP calculation (PBE) on crystalline LiLaSc2O at its relaxed geometry.

It has space group P4/mmm (No. 123), with a = 4.420 Å, b = 4.420 Å, c = 5.174 Å, α = 90.00°, β = 90.00° and γ = 90.00°. The asymmetric unit holds Li at (0.000, 0.000, 0.000), La at (0.500, 0.500, 0.000), Sc at (0.000, 0.500, 0.500) and O at (0.500, 0.500, 0.500).

As for the formation energy from raw total energies: -1.05 eV/atom.

***

Record 20
VASP calculation (PBE) on crystalline LiLa2ScO at its relaxed geometry.

It has space group P4/mmm (No. 123), with a = 5.364 Å, b = 5.364 Å, c = 4.186 Å, α = 90.00°, β = 90.00° and γ = 90.00°. The asymmetric unit holds Li at (0.000, 0.000, 0.000), La at (0.000, 0.500, 0.500), Sc at (0.500, 0.500, 0.000) and O at (0.500, 0.500, 0.500).

As for the formation energy from raw total energies: -1.11 eV/atom.

***

Record 21
VASP calculation (PBE) on crystalline LiLaSeO6 at its relaxed geometry.

It has space group P312 (No. 149), with a = 5.2057 Å, b = 5.2057 Å, c = 5.0553 Å, α = 90.00°, β = 90.00° and γ = 120.00°. The asymmetric unit holds Li at (0.0000, 0.0000, 0.0000), La at (0.6667, 0.3333, 0.5000), Se at (0.3333, 0.6667, 0.0000) and O at (0.0567, 0.3793, 0.2045).

As for the formation energy from raw total energies: -1.42 eV/atom.

***

Record 22
VASP calculation (PBE) on crystalline LiLaSeO at its relaxed geometry.

It has space group P4/nmm (No. 129, origin choice 2), with a = 4.100 Å, b = 4.100 Å, c = 9.129 Å, α = 90.00°, β = 90.00° and γ = 90.00°. The asymmetric unit holds Li at (0.250, 0.750, 0.000), La at (0.250, 0.250, 0.367), Se at (0.250, 0.250, 0.830) and O at (0.250, 0.750, 0.500).

As for the formation energy from raw total energies: -2.45 eV/atom.